DFT (PBE+U) results for crystalline NaMnOF at its relaxed geometry.

Cell lengths 5.761, 5.761, 5.761 Å; angles 33.10, 33.10, 33.10 degrees
Sites, in units of the cell vectors:
Na (0.000, 0.000, 0.000)
Mn (0.484, 0.484, 0.484)
O (0.761, 0.761, 0.761)
F (0.245, 0.245, 0.245)

Space-group type: R3m
ρ, kg/m3: 3695
DFT total energy, eV per atom: -5.954

=====

DFT (PBE+U) results for crystalline NaMnO2F at its relaxed geometry.

Cell lengths 3.783, 3.783, 4.180 Å; angles 90.00, 90.00, 90.00 degrees
Sites, in units of the cell vectors:
Na (0.000, 0.000, 0.000)
Mn (0.500, 0.500, 0.500)
O (0.000, 0.500, 0.500)
O (0.500, 0.000, 0.500)
F (0.500, 0.500, 0.000)

Space-group type: P4/mmm
ρ, kg/m3: 3580
DFT total energy, eV per atom: -5.749

=====

DFT (PBE+U) results for crystalline NaMnO2F at its relaxed geometry.

Cell lengths 4.083, 4.083, 4.023 Å; angles 90.00, 90.00, 90.00 degrees
Sites, in units of the cell vectors:
Na (0.000, 0.000, 0.000)
Mn (0.500, 0.500, 0.500)
O (0.000, 0.500, 0.000)
O (0.500, 0.000, 0.000)
F (0.000, 0.000, 0.500)

Space-group type: P4/mmm
ρ, kg/m3: 3193
DFT total energy, eV per atom: -4.614

=====

DFT (PBE+U) results for crystalline Na2MnPO5F2 at its relaxed geometry.

Cell lengths 5.263, 8.832, 6.011 Å; angles 90.00, 94.53, 90.00 degrees
Sites, in units of the cell vectors:
Na (0.000, 0.000, 0.000)
Na (0.000, 0.500, 0.000)
Na (0.462, 0.250, 0.964)
Na (0.538, 0.750, 0.036)
Mn (0.500, 0.000, 0.500)
Mn (0.500, 0.500, 0.500)
P (0.011, 0.250, 0.570)
P (0.989, 0.750, 0.430)
O (0.075, 0.250, 0.292)
O (0.120, 0.750, 0.869)
O (0.153, 0.107, 0.653)
O (0.153, 0.393, 0.653)
O (0.279, 0.750, 0.428)
O (0.721, 0.250, 0.572)
O (0.847, 0.607, 0.347)
O (0.847, 0.893, 0.347)
O (0.880, 0.250, 0.131)
O (0.925, 0.750, 0.708)
F (0.383, 0.034, 0.183)
F (0.383, 0.466, 0.183)
F (0.617, 0.534, 0.817)
F (0.617, 0.966, 0.817)

Space-group type: P2_1/m
ρ, kg/m3: 2979
DFT total energy, eV per atom: -5.881